First-principles (GGA-PBE) data for crystalline In2HgO4 at its relaxed geometry, as listed in the Open Quantum Materials Database.

Cell: 9.3361 9.3361 9.3361 Å, 90.00 90.00 90.00°
Space group Fd-3m (No. 227, origin choice 2)
Unique sites:
In1 0.0000 0.0000 0.0000
Hg1 0.1250 0.1250 0.6250
O1 0.0152 0.0152 0.2348

Output
E, eV/atom: -4.86
Density, g/cm3: 8.1

***

First-principles (GGA-PBE) data for crystalline InHg3OsO4 at its relaxed geometry, as listed in the Open Quantum Materials Database.

Cell: 5.4619 5.4619 5.4619 Å, 90.00 90.00 90.00°
Space group P-43m (No. 215)
Unique sites:
In1 0.0000 0.0000 0.0000
Hg1 0.0000 0.5000 0.5000
Os1 0.5000 0.5000 0.5000
O1 0.2231 0.2231 0.2231

Output
E, eV/atom: -3.68
Density, g/cm3: 9.9
Magnetic moment, μB/atom: 0.34

***

First-principles (GGA-PBE) data for crystalline InHg3PdO4 at its relaxed geometry, as listed in the Open Quantum Materials Database.

Cell: 5.4016 5.4016 5.4016 Å, 90.00 90.00 90.00°
Space group P-43m (No. 215)
Unique sites:
In1 0.0000 0.0000 0.0000
Hg1 0.0000 0.5000 0.5000
Pd1 0.5000 0.5000 0.5000
O1 0.2234 0.2234 0.2234

Output
E, eV/atom: -3.45
Density, g/cm3: 9.3

***

First-principles (GGA-PBE) data for crystalline PrInHgO3 at its relaxed geometry, as listed in the Open Quantum Materials Database.

Cell: 3.6330 14.3470 8.4462 Å, 90.00 90.00 90.00°
Space group Cmcm (No. 63)
Unique sites:
Pr1 0.0000 0.0000 0.0000
In1 0.0000 0.3432 0.2500
Hg1 0.0000 0.3095 0.7500
O1 0.0000 0.0707 0.7500
O2 0.0000 0.3926 0.5172

Output
E, eV/atom: -5.49
Density, g/cm3: 7.6
Magnetic moment, μB/atom: 0.00

***

First-principles (GGA-PBE) data for crystalline InHgSO at its relaxed geometry, as listed in the Open Quantum Materials Database.

Cell: 4.1459 4.1459 9.1815 Å, 90.00 90.00 90.00°
Space group P4/nmm (No. 129, origin choice 2)
Unique sites:
In1 0.2500 0.2500 0.0981
Hg1 0.2500 0.7500 0.5000
S1 0.2500 0.2500 0.6934
O1 0.2500 0.7500 0.0000

Output
E, eV/atom: -3.38
Excess energy over the best structure of this formula in the dataset, eV per atom: 0.374
Density, g/cm3: 7.6

***

First-principles (GGA-PBE) data for crystalline InHgSO at its relaxed geometry, as listed in the Open Quantum Materials Database.

Cell: 5.6309 5.6362 11.8745 Å, 90.00 100.97 90.00°
Space group P2_1 (No. 4)
Unique sites:
In1 0.0269 0.0000 0.0825
In2 0.4613 0.9873 0.9172
Hg1 0.1853 0.5251 0.5015
Hg2 0.4233 0.7821 0.3167
S1 0.1158 0.0798 0.2854
S2 0.2998 0.9796 0.7142
O1 0.2508 0.2463 0.9994
O2 0.2530 0.7435 0.0082

Output
E, eV/atom: -3.75
Excess energy over the best structure of this formula in the dataset, eV per atom: 0.000
Density, g/cm3: 6.5

***

First-principles (GGA-PBE) data for crystalline InHgSO at its relaxed geometry, as listed in the Open Quantum Materials Database.

Cell: 5.6352 8.3400 9.0133 Å, 86.33 89.07 84.54°
Space group P1 (No. 1)
Unique sites:
In1 0.0000 0.0000 0.0000
In2 0.0562 0.7552 0.6892
In3 0.1999 0.1404 0.3457
In4 0.6410 0.2367 0.2778
Hg1 0.1959 0.2095 0.7402
Hg2 0.5444 0.7056 0.0129
Hg3 0.7498 0.2884 0.8632
Hg4 0.9232 0.5347 0.5140
S1 0.3038 0.9661 0.5818
S2 0.4495 0.9929 0.0266
S3 0.4581 0.4387 0.6569
S4 0.4838 0.4274 0.0599
O1 0.3850 0.5989 0.7417
O2 0.9194 0.3223 0.3904
O3 0.9259 0.0576 0.2193
O4 0.9345 0.7928 0.9022

Output
E, eV/atom: -3.54
Excess energy over the best structure of this formula in the dataset, eV per atom: 0.217
Density, g/cm3: 5.7

***

First-principles (GGA-PBE) data for crystalline InHgSO at its relaxed geometry, as listed in the Open Quantum Materials Database.

Cell: 3.9492 8.3423 5.6178 Å, 90.00 90.00 90.00°
Space group Pmc2_1 (No. 26)
Unique sites:
In1 0.0000 0.1309 0.0000
Hg1 0.5000 0.3041 0.5507
S1 0.5000 0.3121 0.0678
O1 0.0000 0.0963 0.6342

Output
E, eV/atom: -3.58
Excess energy over the best structure of this formula in the dataset, eV per atom: 0.173
Density, g/cm3: 6.5

***

First-principles (GGA-PBE) data for crystalline InHgSO at its relaxed geometry, as listed in the Open Quantum Materials Database.

Cell: 6.5705 8.7660 6.2690 Å, 90.00 90.00 90.00°
Space group Pca2_1 (No. 29)
Unique sites:
In1 0.0588 0.1414 0.0000
Hg1 0.1324 0.5562 0.9326
S1 0.0631 0.1237 0.5913
O1 0.0584 0.6519 0.5855

Output
E, eV/atom: -3.46
Excess energy over the best structure of this formula in the dataset, eV per atom: 0.298
Density, g/cm3: 6.7

***

First-principles (GGA-PBE) data for crystalline ScInHgO3 at its relaxed geometry, as listed in the Open Quantum Materials Database.

Cell: 3.2520 13.9938 8.0599 Å, 90.00 90.00 90.00°
Space group Cmcm (No. 63)
Unique sites:
Sc1 0.0000 0.0000 0.0000
In1 0.0000 0.3570 0.2500
Hg1 0.0000 0.3068 0.7500
O1 0.0000 0.0396 0.7500
O2 0.0000 0.4022 0.5187

Output
E, eV/atom: -5.92
Density, g/cm3: 7.4
Magnetic moment, μB/atom: 0.00

***

First-principles (GGA-PBE) data for crystalline InHgSeO at its relaxed geometry, as listed in the Open Quantum Materials Database.

Cell: 4.1262 4.1262 9.5237 Å, 90.00 90.00 90.00°
Space group P4/nmm (No. 129, origin choice 2)
Unique sites:
In1 0.2500 0.2500 0.0984
Hg1 0.2500 0.7500 0.5000
Se1 0.2500 0.2500 0.7094
O1 0.2500 0.7500 0.0000

Output
E, eV/atom: -3.29
Excess energy over the best structure of this formula in the dataset, eV per atom: 0.171
Density, g/cm3: 8.4

***

First-principles (GGA-PBE) data for crystalline InHgSeO at its relaxed geometry, as listed in the Open Quantum Materials Database.

Cell: 4.0979 8.6564 5.6828 Å, 90.00 90.00 90.00°
Space group Pmc2_1 (No. 26)
Unique sites:
In1 0.0000 0.1227 0.0000
Hg1 0.5000 0.2993 0.5616
Se1 0.5000 0.3112 0.0713
O1 0.0000 0.0945 0.6373

Output
E, eV/atom: -3.46
Excess energy over the best structure of this formula in the dataset, eV per atom: 0.000
Density, g/cm3: 6.8